The following is a GGA-PBE calculation of a geometry-optimized Tb7Sn5Sb structure, from Alexandria.

a = 8.363 Å, b = 8.363 Å, c = 8.363 Å
α = 136.37°, β = 94.83°, γ = 101.07°
Positions (direct):
Tb 0.000 0.000 0.000
Tb 0.291 0.621 0.669
Tb 0.406 0.406 0.000
Tb 0.446 0.108 0.338
Tb 0.769 0.108 0.662
Tb 0.857 0.357 0.500
Tb 0.952 0.621 0.331
Sn 0.112 0.119 0.496
Sn 0.112 0.616 0.993
Sn 0.360 0.860 0.500
Sn 0.623 0.119 0.007
Sn 0.623 0.616 0.504
Sb 0.691 0.691 0.000

Computed properties:
* total magnetization: 0.000 μB/atom
* raw formation energy: -0.526 eV/atom
* total DFT energy (no corrections): -4.8755 eV/atom